Computed, not measured: a relaxed PmEr4Zn5 crystal at the PBE-GGA level of DFT.

It has space group P4/mmm (No. 123), with a = 3.557 Å, b = 3.557 Å, c = 17.868 Å, α = 90.00°, β = 90.00° and γ = 90.00°. Symmetry generates all atoms from Pm at (0.000, 0.000, 0.000), Er at (0.000, 0.000, 0.204), Er at (0.000, 0.000, 0.402), Zn at (0.500, 0.500, 0.109), Zn at (0.500, 0.500, 0.302) and Zn at (0.500, 0.500, 0.500).

As for the formation energy from the elements: -338 meV per atom.

***

Computed, not measured: a relaxed Pm9Er4Zn11 crystal at the PBE-GGA level of DFT.

It has space group Cmmm (No. 65), with a = 15.343 Å, b = 21.813 Å, c = 3.506 Å, α = 90.00°, β = 90.00° and γ = 90.00°. Symmetry generates all atoms from Pm at (0.000, 0.000, 0.000), Pm at (0.115, 0.241, 0.000), Pm at (0.120, 0.413, 0.000), Er at (0.159, 0.092, 0.000), Zn at (0.000, 0.133, 0.500), Zn at (0.000, 0.331, 0.500), Zn at (0.000, 0.500, 0.500), Zn at (0.238, 0.321, 0.500) and Zn at (0.246, 0.500, 0.500).

As for the formation energy from the elements: -235 meV per atom.

***

Computed, not measured: a relaxed PmErZr2 crystal at the PBE-GGA level of DFT.

It has space group P4/mmm (No. 123), with a = 4.733 Å, b = 4.733 Å, c = 4.808 Å, α = 90.00°, β = 90.00° and γ = 90.00°. Symmetry generates all atoms from Pm at (0.000, 0.000, 0.000), Er at (0.500, 0.500, 0.000) and Zr at (0.000, 0.500, 0.500).

As for the formation energy from the elements: 145 meV per atom.

***

Computed, not measured: a relaxed PmEr3Zr crystal at the PBE-GGA level of DFT.

It has space group P-1 (No. 2), with a = 6.007 Å, b = 6.951 Å, c = 7.692 Å, α = 102.97°, β = 96.98° and γ = 106.93°. Symmetry generates all atoms from Pm at (0.204, 0.148, 0.402), Er at (0.008, 0.760, 0.004), Er at (0.214, 0.661, 0.403), Er at (0.401, 0.558, 0.807) and Zr at (0.409, 0.047, 0.816).

As for the formation energy from the elements: 72 meV per atom.